Record 1
Here is crystalline KNpBO6 at its relaxed geometry from Alexandria via LeMat-Bulk. Energies are from PBE-GGA.

Properties
* space-group type: No. 1
* DOS at the Fermi energy: 0.496 states/eV per atom
* electronic total energy: -7.721 eV per atom
* raw formation energy: -2.1134 eV per atom

abc: 5.4496 5.8528 5.8730
angles: 79.96 84.05 69.23
Fractional coordinates of all 9 atoms:
K (0.0000, 0.0000, 0.0000)
Np (0.3609, 0.4504, 0.5150)
B (0.4466, 0.9991, 0.4281)
O (0.0901, 0.5590, 0.3190)
O (0.1354, 0.5967, 0.7595)
O (0.3121, 0.0819, 0.6290)
O (0.4418, 0.7955, 0.3493)
O (0.5662, 0.1602, 0.2995)
O (0.6513, 0.3531, 0.6860)



Record 2
Here is crystalline K2NpBS5 at its relaxed geometry from Alexandria via LeMat-Bulk. Energies are from PBE-GGA.

Properties
* space-group type: No. 36
* DOS at the Fermi energy: 0.489 states/eV per atom
* electronic total energy: -5.633 eV per atom
* raw formation energy: -0.9166 eV per atom

abc: 9.2335 9.2335 13.6616
angles: 90.00 90.00 155.38
Fractional coordinates of all 18 atoms:
K (0.1189, 0.8811, 0.5000)
K (0.1201, 0.8799, 0.8413)
K (0.8799, 0.1201, 0.3413)
K (0.8811, 0.1189, 0.0000)
Np (0.1895, 0.8105, 0.1922)
Np (0.8105, 0.1895, 0.6922)
B (0.4214, 0.5786, 0.5613)
B (0.5786, 0.4214, 0.0613)
S (0.0515, 0.9485, 0.1564)
S (0.3112, 0.6888, 0.8184)
S (0.3190, 0.6810, 0.5523)
S (0.3244, 0.6756, 0.1730)
S (0.4844, 0.5156, 0.4627)
S (0.5156, 0.4844, 0.9627)
S (0.6756, 0.3244, 0.6730)
S (0.6810, 0.3190, 0.0523)
S (0.6888, 0.3112, 0.3184)
S (0.9485, 0.0515, 0.6564)



Record 3
Here is crystalline K2NpB2S6 at its relaxed geometry from Alexandria via LeMat-Bulk. Energies are from PBE-GGA.

Properties
* space-group type: No. 147
* DOS at the Fermi energy: 0.728 states/eV per atom
* electronic total energy: -5.717 eV per atom
* raw formation energy: -0.8752 eV per atom

abc: 6.8092 6.8092 7.1608
angles: 90.00 90.00 120.00
Fractional coordinates of all 11 atoms:
K (0.3333, 0.6667, 0.3225)
K (0.6667, 0.3333, 0.6775)
Np (0.0000, 0.0000, 0.0000)
B (0.3333, 0.6667, 0.7959)
B (0.6667, 0.3333, 0.2041)
S (0.1380, 0.3632, 0.7755)
S (0.2253, 0.8620, 0.7755)
S (0.3632, 0.2253, 0.2245)
S (0.6368, 0.7747, 0.7755)
S (0.7747, 0.1380, 0.2245)
S (0.8620, 0.6368, 0.2245)



Record 4
Here is crystalline K2NpBSe5 at its relaxed geometry from Alexandria via LeMat-Bulk. Energies are from PBE-GGA.

Properties
* space-group type: No. 36
* DOS at the Fermi energy: 0.688 states/eV per atom
* electronic total energy: -5.119 eV per atom
* raw formation energy: -0.7593 eV per atom

abc: 9.8641 9.8641 14.3122
angles: 90.00 90.00 156.85
Fractional coordinates of all 18 atoms:
K (0.1159, 0.8841, 0.5000)
K (0.1287, 0.8713, 0.8474)
K (0.8713, 0.1287, 0.3474)
K (0.8841, 0.1159, 0.0000)
Np (0.1912, 0.8088, 0.1919)
Np (0.8088, 0.1912, 0.6919)
B (0.4228, 0.5772, 0.5687)
B (0.5772, 0.4228, 0.0687)
Se (0.0507, 0.9493, 0.1568)
Se (0.3120, 0.6880, 0.8252)
Se (0.3179, 0.6821, 0.5483)
Se (0.3254, 0.6746, 0.1721)
Se (0.4824, 0.5176, 0.4580)
Se (0.5176, 0.4824, 0.9580)
Se (0.6746, 0.3254, 0.6721)
Se (0.6821, 0.3179, 0.0483)
Se (0.6880, 0.3120, 0.3252)
Se (0.9493, 0.0507, 0.6568)



Record 5
Here is crystalline KBO2 at its relaxed geometry from Alexandria via LeMat-Bulk. Energies are from PBE-GGA.

Properties
* space-group type: No. 167
* DOS at the Fermi energy: 0.000 states/eV per atom
* electronic total energy: -6.726 eV per atom
* raw formation energy: -2.3027 eV per atom

abc: 7.8526 7.8526 7.8526
angles: 110.30 110.30 110.30
Fractional coordinates of all 24 atoms:
K (0.1900, 0.7500, 0.3100)
K (0.2500, 0.6900, 0.8100)
K (0.3100, 0.1900, 0.7500)
K (0.6900, 0.8099, 0.2500)
K (0.7500, 0.3100, 0.1900)
K (0.8100, 0.2500, 0.6900)
B (0.1371, 0.2500, 0.3629)
B (0.2500, 0.3629, 0.1371)
B (0.3629, 0.1371, 0.2500)
B (0.6371, 0.8629, 0.7500)
B (0.7500, 0.6371, 0.8629)
B (0.8629, 0.7500, 0.6371)
O (0.0343, 0.2500, 0.4657)
O (0.1419, 0.3581, 0.2500)
O (0.2500, 0.1419, 0.3581)
O (0.2500, 0.4657, 0.0343)
O (0.3581, 0.2500, 0.1419)
O (0.4657, 0.0343, 0.2500)
O (0.5343, 0.9657, 0.7500)
O (0.6419, 0.7500, 0.8581)
O (0.7500, 0.5343, 0.9657)
O (0.7500, 0.8581, 0.6419)
O (0.8581, 0.6419, 0.7500)
O (0.9657, 0.7500, 0.5343)



Record 6
Here is crystalline K2BO4 at its relaxed geometry from Alexandria via LeMat-Bulk. Energies are from PBE-GGA.

Properties
* space-group type: No. 139
* DOS at the Fermi energy: 0.498 states/eV per atom
* electronic total energy: -5.116 eV per atom
* raw formation energy: -1.0156 eV per atom

abc: 6.4638 6.4638 6.4638
angles: 138.92 138.92 59.50
Fractional coordinates of all 7 atoms:
K (0.1420, 0.1420, 0.0000)
K (0.8580, 0.8580, 0.0000)
B (0.5000, 0.5000, 0.0000)
O (0.0000, 0.5000, 0.5000)
O (0.3840, 0.3840, 0.0000)
O (0.5000, 0.0000, 0.5000)
O (0.6160, 0.6160, 0.0000)